a | TmNbCd | PBE | optimized geometry

Cell: 4.8594 4.8594 4.8594 Å, 60.00 60.00 60.00°
Fractional positions:
1 Tm 0.0000 0.0000 0.0000
2 Nb 0.2500 0.2500 0.2500
3 Cd 0.7500 0.7500 0.7500

## Properties
**Mass density**: 7.66 g/cm3
**Calculated volume**: 81 Å³ per cell
**SG**: F-43m, No. 216
**Total magnetic moment**: 0.9613 μB per atom


b | TmNbCd | PBE | optimized geometry

Cell: 4.8304 4.8304 4.8304 Å, 60.00 60.00 60.00°
Fractional positions:
1 Tm 0.0000 0.0000 0.0000
2 Nb 0.7500 0.7500 0.7500
3 Cd 0.5000 0.5000 0.5000

## Properties
**Mass density**: 7.80 g/cm3
**Calculated volume**: 80 Å³ per cell
**SG**: F-43m, No. 216
**Total magnetic moment**: 0.7763 μB per atom


Most stable of them? b.


a | UNbCd | PBE | optimized geometry

Cell: 4.6636 4.6636 4.6636 Å, 60.00 60.00 60.00°
Fractional positions:
1 U 0.0000 0.0000 0.0000
2 Nb 0.7500 0.7500 0.7500
3 Cd 0.5000 0.5000 0.5000

## Properties
**Mass density**: 10.26 g/cm3
**Calculated volume**: 72 Å³ per cell
**SG**: F-43m, No. 216
**Total magnetic moment**: 0.0268 μB per atom


b | UNbCd | PBE | optimized geometry

Cell: 4.7072 4.7072 4.7072 Å, 60.00 60.00 60.00°
Fractional positions:
1 U 0.0000 0.0000 0.0000
2 Nb 0.2500 0.2500 0.2500
3 Cd 0.7500 0.7500 0.7500

## Properties
**Mass density**: 9.98 g/cm3
**Calculated volume**: 74 Å³ per cell
**SG**: F-43m, No. 216
**Total magnetic moment**: 0.1359 μB per atom


Most stable of them? a.


a | NdTlCdSe3 | PBE | optimized geometry

Cell: 12.1921 4.4468 12.7770 Å, 90.00 90.00 90.00°
Fractional positions:
1 Nd 0.0248 0.2500 0.1734
2 Nd 0.4752 0.7500 0.6734
3 Nd 0.5248 0.2500 0.3266
4 Nd 0.9752 0.7500 0.8266
5 Tl 0.1625 0.2500 0.5010
6 Tl 0.3375 0.7500 0.0010
7 Tl 0.6625 0.2500 0.9990
8 Tl 0.8375 0.7500 0.4990
9 Cd 0.2493 0.7500 0.2976
10 Cd 0.2507 0.2500 0.7976
11 Cd 0.7493 0.7500 0.2024
12 Cd 0.7507 0.2500 0.7024
13 Se 0.0347 0.7500 0.3350
14 Se 0.0932 0.2500 0.9389
15 Se 0.2271 0.7500 0.6806
16 Se 0.2729 0.2500 0.1806
17 Se 0.4068 0.7500 0.4389
18 Se 0.4653 0.2500 0.8350
19 Se 0.5347 0.7500 0.1650
20 Se 0.5932 0.2500 0.5611
21 Se 0.7271 0.7500 0.8194
22 Se 0.7729 0.2500 0.3194
23 Se 0.9068 0.7500 0.0611
24 Se 0.9653 0.2500 0.6650

## Properties
**Mass density**: 6.69 g/cm3
**Calculated volume**: 693 Å³ per cell
**SG**: Pnma, No. 62
**Total magnetic moment**: 0.0005 μB per atom


b | NdTlCdSe3 | PBE | optimized geometry

Cell: 7.6590 7.6590 11.3952 Å, 90.00 90.00 147.14°
Fractional positions:
1 Nd 0.0000 0.0000 0.0000
2 Nd 0.0000 0.0000 0.5000
3 Tl 0.2499 0.7501 0.7500
4 Tl 0.7501 0.2499 0.2500
5 Cd 0.4612 0.5388 0.2500
6 Cd 0.5388 0.4612 0.7500
7 Se 0.0735 0.9265 0.2500
8 Se 0.3660 0.6340 0.0550
9 Se 0.3660 0.6340 0.4450
10 Se 0.6340 0.3660 0.5550
11 Se 0.6340 0.3660 0.9450
12 Se 0.9265 0.0735 0.7500

## Properties
**Mass density**: 6.39 g/cm3
**Calculated volume**: 363 Å³ per cell
**SG**: Cmcm, No. 63
**Total magnetic moment**: 0.0006 μB per atom


Most stable of them? b.


a | CdNi17 | PBE | optimized geometry

Cell: 4.9526 4.9526 31.2432 Å, 90.00 90.00 120.00°
Fractional positions:
1 Cd 0.0000 0.0000 0.0000
2 Cd 0.3333 0.6667 0.4243
3 Ni 0.0000 0.0000 0.5826
4 Ni 0.0000 0.0000 0.7770
5 Ni 0.0001 0.5001 0.5824
6 Ni 0.0001 0.5001 0.7769
7 Ni 0.9996 0.4998 0.9702
8 Ni 0.1661 0.3322 0.9066
9 Ni 0.1661 0.8339 0.9066
10 Ni 0.1666 0.3333 0.7120
11 Ni 0.1666 0.8334 0.7120
12 Ni 0.1677 0.3355 0.5173
13 Ni 0.1677 0.8323 0.5173
14 Ni 0.3332 0.1666 0.6472
15 Ni 0.3333 0.1667 0.8418
16 Ni 0.3333 0.6667 0.6472
17 Ni 0.3333 0.6667 0.8416
18 Ni 0.3341 0.1670 0.4540
19 Ni 0.4999 0.9999 0.5824
20 Ni 0.4999 0.9999 0.7769
21 Ni 0.5002 0.0004 0.9702
22 Ni 0.4999 0.5001 0.5824
23 Ni 0.4999 0.5001 0.7769
24 Ni 0.5002 0.4998 0.9702
25 Ni 0.6645 0.8323 0.5173
26 Ni 0.6667 0.3333 0.5174
27 Ni 0.6667 0.3333 0.7120
28 Ni 0.6667 0.3333 0.9069
29 Ni 0.6667 0.8334 0.7120
30 Ni 0.6678 0.8339 0.9066
31 Ni 0.8330 0.1670 0.4540
32 Ni 0.8334 0.1666 0.6472
33 Ni 0.8333 0.1667 0.8418
34 Ni 0.8330 0.6659 0.4540
35 Ni 0.8334 0.6668 0.6472
36 Ni 0.8333 0.6667 0.8418

## Properties
**Mass density**: 5.56 g/cm3
**Calculated volume**: 664 Å³ per cell
**SG**: P3m1, No. 156
**Total magnetic moment**: 0.2613 μB per atom


b | CdNi17 | PBE | optimized geometry

Cell: 4.2758 4.9486 31.1608 Å, 90.00 90.09 90.00°
Fractional positions:
1 Cd 0.0000 0.0000 0.0000
2 Cd 0.3334 0.5000 0.5749
3 Ni 0.9995 0.5000 0.2227
4 Ni 0.0009 0.0000 0.2225
5 Ni 0.0015 0.0000 0.4168
6 Ni 0.1659 0.2473 0.0925
7 Ni 0.1659 0.7527 0.0925
8 Ni 0.1670 0.2499 0.2875
9 Ni 0.1670 0.7501 0.2875
10 Ni 0.1687 0.2533 0.4830
11 Ni 0.1687 0.7467 0.4830
12 Ni 0.3327 0.5000 0.1580
13 Ni 0.3332 0.5000 0.3523
14 Ni 0.3341 0.0000 0.1576
15 Ni 0.3344 0.0000 0.3522
16 Ni 0.3367 0.0000 0.5459
17 Ni 0.5001 0.2502 0.2227
18 Ni 0.5001 0.2505 0.4170
19 Ni 0.5004 0.2556 0.0292
20 Ni 0.5004 0.7444 0.0292
21 Ni 0.5001 0.7495 0.4170
22 Ni 0.5001 0.7498 0.2227
23 Ni 0.6619 0.5000 0.4837
24 Ni 0.6660 0.5000 0.0934
25 Ni 0.6673 0.0000 0.2874
26 Ni 0.6668 0.5000 0.2876
27 Ni 0.6678 0.0000 0.4817
28 Ni 0.6713 0.0000 0.0918
29 Ni 0.8332 0.2446 0.5458
30 Ni 0.8332 0.7554 0.5458
31 Ni 0.8335 0.2495 0.1576
32 Ni 0.8339 0.2498 0.3522
33 Ni 0.8339 0.7502 0.3522
34 Ni 0.8335 0.7505 0.1576
35 Ni 0.9984 0.5000 0.0292
36 Ni 0.9994 0.5000 0.4171

## Properties
**Mass density**: 5.59 g/cm3
**Calculated volume**: 659 Å³ per cell
**SG**: Pm, No. 6
**Total magnetic moment**: 0.5526 μB per atom


Most stable of them? b.


a | PaCdNi | PBE | optimized geometry

Cell: 4.5052 4.5052 4.5052 Å, 60.00 60.00 60.00°
Fractional positions:
1 Pa 0.0000 0.0000 0.0000
2 Cd 0.5000 0.5000 0.5000
3 Ni 0.2500 0.2500 0.2500

## Properties
**Mass density**: 10.33 g/cm3
**Calculated volume**: 65 Å³ per cell
**SG**: F-43m, No. 216
**Total magnetic moment**: 0.0073 μB per atom


b | PaCdNi | PBE | optimized geometry

Cell: 4.7102 4.7102 4.7102 Å, 60.00 60.00 60.00°
Fractional positions:
1 Pa 0.0000 0.0000 0.0000
2 Cd 0.7500 0.7500 0.7500
3 Ni 0.2500 0.2500 0.2500

## Properties
**Mass density**: 9.04 g/cm3
**Calculated volume**: 74 Å³ per cell
**SG**: F-43m, No. 216
**Total magnetic moment**: 0.0952 μB per atom


Most stable of them? a.


a | CdNiSnS3 | PBE | optimized geometry

Cell: 6.7546 6.7546 10.0559 Å, 90.00 90.00 148.20°
Fractional positions:
1 Cd 0.0000 0.0000 0.0000
2 Cd 0.0000 0.0000 0.5000
3 Ni 0.4807 0.5193 0.7500
4 Ni 0.5193 0.4807 0.2500
5 Sn 0.2371 0.7629 0.2500
6 Sn 0.7629 0.2371 0.7500
7 S 0.0828 0.9172 0.7500
8 S 0.3608 0.6392 0.5815
9 S 0.3608 0.6392 0.9185
10 S 0.6392 0.3608 0.0815
11 S 0.6392 0.3608 0.4185
12 S 0.9172 0.0828 0.2500

## Properties
**Mass density**: 5.30 g/cm3
**Calculated volume**: 242 Å³ per cell
**SG**: Cmcm, No. 63
**Total magnetic moment**: 0.2044 μB per atom


b | CdNiSnS3 | PBE | optimized geometry

Cell: 7.3516 7.3516 10.8716 Å, 90.00 90.00 152.34°
Fractional positions:
1 Cd 0.0353 0.9647 0.7500
2 Cd 0.9647 0.0353 0.2500
3 Ni 0.5000 0.5000 0.0000
4 Ni 0.5000 0.5000 0.5000
5 Sn 0.3073 0.6927 0.7500
6 Sn 0.6927 0.3073 0.2500
7 S 0.0842 0.9158 0.0696
8 S 0.0842 0.9158 0.4304
9 S 0.3276 0.6724 0.2500
10 S 0.6724 0.3276 0.7500
11 S 0.9158 0.0842 0.5696
12 S 0.9158 0.0842 0.9304

## Properties
**Mass density**: 4.70 g/cm3
**Calculated volume**: 273 Å³ per cell
**SG**: Cmcm, No. 63
**Total magnetic moment**: 0.0005 μB per atom


Most stable of them? a.


a | CdNiSnSe3 | PBE | optimized geometry

Cell: 7.2202 7.2202 10.1423 Å, 90.00 90.00 149.59°
Fractional positions:
1 Cd 0.0000 0.0000 0.0000
2 Cd 0.0000 0.0000 0.5000
3 Ni 0.4733 0.5267 0.7500
4 Ni 0.5267 0.4733 0.2500
5 Sn 0.2390 0.7610 0.2500
6 Sn 0.7610 0.2390 0.7500
7 Se 0.0790 0.9210 0.7500
8 Se 0.3547 0.6453 0.5743
9 Se 0.3547 0.6453 0.9257
10 Se 0.6453 0.3547 0.0743
11 Se 0.6453 0.3547 0.4257
12 Se 0.9210 0.0790 0.2500

## Properties
**Mass density**: 6.54 g/cm3
**Calculated volume**: 268 Å³ per cell
**SG**: Cmcm, No. 63
**Total magnetic moment**: 0.1595 μB per atom


b | CdNiSnSe3 | PBE | optimized geometry

Cell: 7.5880 7.5880 10.9564 Å, 90.00 90.00 151.99°
Fractional positions:
1 Cd 0.0250 0.9750 0.7500
2 Cd 0.9750 0.0250 0.2500
3 Ni 0.5000 0.5000 0.0000
4 Ni 0.5000 0.5000 0.5000
5 Sn 0.3037 0.6963 0.7500
6 Sn 0.6963 0.3037 0.2500
7 Se 0.0941 0.9059 0.0600
8 Se 0.0941 0.9059 0.4400
9 Se 0.3348 0.6652 0.2500
10 Se 0.6652 0.3348 0.7500
11 Se 0.9059 0.0941 0.5600
12 Se 0.9059 0.0941 0.9400

## Properties
**Mass density**: 5.91 g/cm3
**Calculated volume**: 296 Å³ per cell
**SG**: Cmcm, No. 63
**Total magnetic moment**: 0.0000 μB per atom


Most stable of them? a.


a | SrCdNiTe3 | PBE | optimized geometry

Cell: 7.5533 7.5533 10.9758 Å, 90.00 90.00 146.95°
Fractional positions:
1 Sr 0.2310 0.7690 0.7500
2 Sr 0.7690 0.2310 0.2500
3 Cd 0.4697 0.5303 0.2500
4 Cd 0.5303 0.4697 0.7500
5 Ni 0.0000 0.0000 0.0000
6 Ni 0.0000 0.0000 0.5000
7 Te 0.0908 0.9092 0.2500
8 Te 0.3706 0.6294 0.0327
9 Te 0.3706 0.6294 0.4673
10 Te 0.6294 0.3706 0.5327
11 Te 0.6294 0.3706 0.9673
12 Te 0.9092 0.0908 0.7500

## Properties
**Mass density**: 6.24 g/cm3
**Calculated volume**: 341 Å³ per cell
**SG**: Cmcm, No. 63
**Total magnetic moment**: 0.2810 μB per atom


b | SrCdNiTe3 | PBE | optimized geometry

Cell: 7.0106 7.0106 11.7295 Å, 90.00 90.00 144.26°
Fractional positions:
1 Sr 0.2472 0.7528 0.7500
2 Sr 0.7528 0.2472 0.2500
3 Cd 0.0000 0.0000 0.0000
4 Cd 0.0000 0.0000 0.5000
5 Ni 0.4542 0.5458 0.2500
6 Ni 0.5458 0.4542 0.7500
7 Te 0.0525 0.9475 0.2500
8 Te 0.3512 0.6488 0.0623
9 Te 0.3512 0.6488 0.4377
10 Te 0.6488 0.3512 0.5623
11 Te 0.6488 0.3512 0.9377
12 Te 0.9475 0.0525 0.7500

## Properties
**Mass density**: 6.33 g/cm3
**Calculated volume**: 337 Å³ per cell
**SG**: Cmcm, No. 63
**Total magnetic moment**: 0.0018 μB per atom


Most stable of them? b.


a | CdOsPb2O6 | PBE | optimized geometry

Cell: 5.8246 5.8246 5.8246 Å, 121.48 121.48 87.46°
Fractional positions:
1 Cd 0.0000 0.0000 0.0000
2 Os 0.5000 0.5000 0.0000
3 Pb 0.2500 0.7500 0.5000
4 Pb 0.7500 0.2500 0.5000
5 O 0.1980 0.6539 0.8519
6 O 0.2695 0.2695 0.0000
7 O 0.3461 0.1980 0.5440
8 O 0.6539 0.8020 0.4560
9 O 0.7305 0.7305 0.0000
10 O 0.8020 0.3461 0.1481

## Properties
**Mass density**: 9.89 g/cm3
**Calculated volume**: 136 Å³ per cell
**SG**: I4/m, No. 87
**Total magnetic moment**: 0.1956 μB per atom


b | CdOsPb2O6 | PBE | optimized geometry

Cell: 5.8131 5.8131 5.8131 Å, 60.00 60.00 60.00°
Fractional positions:
1 Cd 0.0000 0.0000 0.0000
2 Os 0.5000 0.5000 0.5000
3 Pb 0.2500 0.2500 0.2500
4 Pb 0.7500 0.7500 0.7500
5 O 0.2682 0.2682 0.7318
6 O 0.2682 0.7318 0.2682
7 O 0.2682 0.7318 0.7318
8 O 0.7318 0.2682 0.2682
9 O 0.7318 0.2682 0.7318
10 O 0.7318 0.7318 0.2682

## Properties
**Mass density**: 9.72 g/cm3
**Calculated volume**: 139 Å³ per cell
**SG**: Fm-3m, No. 225
**Total magnetic moment**: 0.1707 μB per atom


Most stable of them? a.